GeNF: optimized geometry, PBE-GGA.

a b c (Å): 5.599 5.599 5.187
angles (deg): 90.00 90.00 147.92
Fractional coordinates of all 6 atoms:
Ge  0.197  0.803  0.500
Ge  0.803  0.197  0.000
N  0.265  0.735  0.172
N  0.735  0.265  0.672
F  0.037  0.963  0.443
F  0.963  0.037  0.943

Computed properties:
The calculation puts the volume at 14.393 Å³/atom. The value obtained for the energy relative to the elements, uncorrected is -1020 meV per atom. Its total energy is -5.9578 eV/atom. As for the distance to the lowest polymorph of the same formula: 0.0 meV per atom.